# 1
Computed, not measured: Na3Ca2TcO6 after structural relaxation at the PBE level of DFT.

Computed properties:
Uncorrected formation energy (eV per atom): -2.03

```
data_Na3Ca2TcO6
_symmetry_space_group_name_H-M 'C 1 2/m 1'
_symmetry_Int_Tables_number 12
_symmetry_space_group_name_Hall '-C 2y'
_cell_length_a 5.7274
_cell_length_b 9.9380
_cell_length_c 5.8172
_cell_angle_alpha 90.00
_cell_angle_beta 109.32
_cell_angle_gamma 90.00
loop_
_atom_site_label
_atom_site_fract_x
_atom_site_fract_y
_atom_site_fract_z
Na1 0.0000 0.0000 0.0000
Na2 0.0000 0.3396 0.0000
Ca1 0.0000 0.1676 0.5000
Tc1 0.0000 0.5000 0.5000
O1 0.2167 0.3541 0.7128
O2 0.2216 0.5000 0.2956
```

***

# 2
Computed, not measured: NaCaTcO2 after structural relaxation at the PBE level of DFT.

Computed properties:
Uncorrected formation energy (eV per atom): 0.57

```
data_NaCaTcO2
_symmetry_space_group_name_H-M 'P 4/m m m'
_symmetry_Int_Tables_number 123
_symmetry_space_group_name_Hall '-P 4 2'
_cell_length_a 4.2611
_cell_length_b 4.2611
_cell_length_c 4.3121
_cell_angle_alpha 90.00
_cell_angle_beta 90.00
_cell_angle_gamma 90.00
loop_
_atom_site_label
_atom_site_fract_x
_atom_site_fract_y
_atom_site_fract_z
Na1 0.0000 0.0000 0.0000
Ca1 0.0000 0.0000 0.5000
Tc1 0.5000 0.5000 0.5000
O1 0.0000 0.5000 0.0000
```

***

# 3
Computed, not measured: NaCa2TcO6 after structural relaxation at the PBE level of DFT.

Computed properties:
Uncorrected formation energy (eV per atom): -2.10

```
data_NaCa2TcO6
_symmetry_space_group_name_H-M 'P 1 21/c 1'
_symmetry_Int_Tables_number 14
_symmetry_space_group_name_Hall '-P 2ybc'
_cell_length_a 5.5006
_cell_length_b 5.8707
_cell_length_c 9.6117
_cell_angle_alpha 90.00
_cell_angle_beta 123.95
_cell_angle_gamma 90.00
loop_
_atom_site_label
_atom_site_fract_x
_atom_site_fract_y
_atom_site_fract_z
Na1 0.0000 0.0000 0.0000
Ca1 0.2195 0.0679 0.7408
Tc1 0.5000 0.0000 0.5000
O1 0.1686 0.1717 0.4506
O2 0.2636 0.7309 0.4218
O3 0.4024 0.0591 0.2793
```

***

| no. | uncorrected energy (eV/atom) | theoretical density (kg/m³) |
| --- | --- | --- |
| 1 | -6.0340 | 3647 |
| 2 | -4.1554 | 4095 |
| 3 | -6.6462 | 3833 |